Entry 1:
{"formula": "NpCdSnAu", "functional": "PBE-GGA", "state": "relaxed", "spacegroup": "F-43m, No. 216", "m_tot_mub_per_fu": 4.2, "formation_enthalpy_0k_ev_per_fu": -0.2, "lattice": [[0.000, 3.602, 3.602], [3.602, 0.000, 3.602], [3.602, 3.602, 0.000]], "species": ["Np", "Cd", "Sn", "Au"], "frac_coords": [[0.000, 0.000, 0.000], [0.500, 0.500, 0.500], [0.250, 0.250, 0.250], [0.750, 0.750, 0.750]]}

---

Entry 2:
{"formula": "NpTlCdAu", "functional": "PBE-GGA", "state": "relaxed", "spacegroup": "F-43m, No. 216", "m_tot_mub_per_fu": 4.2, "formation_enthalpy_0k_ev_per_fu": 0.2, "lattice": [[0.000, 3.619, 3.619], [3.619, 0.000, 3.619], [3.619, 3.619, 0.000]], "species": ["Np", "Tl", "Cd", "Au"], "frac_coords": [[0.000, 0.000, 0.000], [0.750, 0.750, 0.750], [0.500, 0.500, 0.500], [0.250, 0.250, 0.250]]}

---

Entry 3:
{"formula": "CdAuO2", "functional": "PBE-GGA", "state": "relaxed", "spacegroup": "Cmmm, No. 65", "m_tot_mub_per_fu": 0.0, "formation_energy_uncorrected_mev_per_atom": -527, "lattice": [[3.150, -5.906, 0.000], [3.150, 5.906, 0.000], [0.000, 0.000, 3.216]], "species": ["Cd", "Cd", "Au", "Au", "O", "O", "O", "O"], "frac_coords": [[0.000, 0.500, 0.000], [0.500, 0.000, 0.000], [0.000, 0.000, 0.500], [0.500, 0.500, 0.500], [0.109, 0.891, 0.000], [0.323, 0.677, 0.500], [0.677, 0.323, 0.500], [0.891, 0.109, 0.000]]}